Computed, not measured: Re2Ag5Br12 after structural relaxation at the PBE-GGA level of DFT.

Calculated values
The uncorrected formation energy is -0.20 eV/atom. Its space-group type is P-1. The value obtained for the total DFT energy (no corrections) is -3.313 eV per atom.

POSCAR file:
```
Re2Ag5Br12
1.0
-0.424 -2.663 8.384
8.129 -2.394 0.259
7.297 5.283 5.290
Re Ag Br
2 5 12
Cartesian
0.143 -0.870 3.019
14.859 1.095 10.914
10.433 0.385 10.816
3.206 -0.358 7.345
3.648 2.641 2.645
11.795 0.583 6.587
4.569 -0.160 3.116
9.116 -1.271 2.013
1.674 -2.426 6.314
9.707 3.453 8.114
4.755 -1.311 9.370
5.018 0.715 5.563
6.604 2.096 8.560
8.397 -1.871 5.372
10.247 1.536 4.562
9.983 -0.490 8.369
13.327 2.651 7.618
5.295 -3.227 5.818
5.886 1.497 11.920
```